Ga2Ni2Ag: optimized geometry, GGA-PBEsol.

Unit cell a=6.9171 b=6.9171 c=2.7380 alpha=90.00 beta=90.00 gamma=90.00
Fractional coordinates of all 10 atoms:
Ga: 0.1463 0.3537 0.0000
Ga: 0.3537 0.8537 0.0000
Ga: 0.6463 0.1463 0.0000
Ga: 0.8537 0.6463 0.0000
Ni: 0.1481 0.6481 0.5000
Ni: 0.3519 0.1481 0.5000
Ni: 0.6481 0.8519 0.5000
Ni: 0.8519 0.3519 0.5000
Ag: 0.0000 0.0000 0.0000
Ag: 0.5000 0.5000 0.0000

Computed properties:
Its energy relative to the lowest polymorph listed for this composition is 0 meV/atom. Its energy of formation from the pure elements is -0.289 eV/atom. The symmetry is P4/mbm. As for the density of states at the Fermi level: 4.6 states/eV per cell.

=====

Ga2Ni2Ag: optimized geometry, GGA-PBEsol.

Unit cell a=6.0577 b=6.0577 c=6.0577 alpha=145.31 beta=145.31 gamma=49.88
Fractional coordinates of all 5 atoms:
Ga: 0.1128 0.1128 0.0000
Ga: 0.8872 0.8872 0.0000
Ni: 0.2500 0.7500 0.5000
Ni: 0.7500 0.2500 0.5000
Ag: 0.5000 0.5000 0.0000

Computed properties:
Its energy relative to the lowest polymorph listed for this composition is 234 meV/atom. Its energy of formation from the pure elements is -0.055 eV/atom. The symmetry is I4/mmm. As for the density of states at the Fermi level: 2.1 states/eV per cell.

=====

GaNiAgTe2: optimized geometry, GGA-PBEsol.

Unit cell a=4.9339 b=4.9339 c=4.8604 alpha=90.00 beta=90.00 gamma=90.00
Fractional coordinates of all 5 atoms:
Ga: 0.0000 0.0000 0.0000
Ni: 0.5000 0.5000 0.5000
Ag: 0.5000 0.5000 0.0000
Te: 0.0000 0.5000 0.5000
Te: 0.5000 0.0000 0.5000

Computed properties:
The symmetry is P4/mmm. As for the density of states at the Fermi level: 2.8 states/eV per cell. As for the formation energy from raw total energies: 24.5 kJ/mol of atoms.

=====

YGaNi2Ag: optimized geometry, GGA-PBEsol.

Unit cell a=4.6203 b=4.6203 c=5.1060 alpha=90.00 beta=90.00 gamma=90.00
Fractional coordinates of all 5 atoms:
Y: 0.0000 0.0000 0.0000
Ga: 0.5000 0.5000 0.0000
Ni: 0.0000 0.5000 0.5000
Ni: 0.5000 0.0000 0.5000
Ag: 0.0000 0.0000 0.5000

Computed properties:
Its energy of formation from the pure elements is 0.862 eV/atom. The symmetry is P4/mmm. As for the density of states at the Fermi level: 5.8 states/eV per cell.

=====

GaAgO2: optimized geometry, GGA-PBEsol.

Unit cell a=5.4623 b=7.0907 c=5.5423 alpha=90.00 beta=90.00 gamma=90.00
Fractional coordinates of all 16 atoms:
Ga: 0.0699 0.1244 0.0000
Ga: 0.4301 0.6244 0.5000
Ga: 0.5699 0.3756 0.0000
Ga: 0.9301 0.8756 0.5000
Ag: 0.0519 0.6418 0.9935
Ag: 0.4481 0.1418 0.4935
Ag: 0.5519 0.8582 0.9935
Ag: 0.9481 0.3582 0.4935
O: 0.0439 0.0798 0.6723
O: 0.1021 0.6580 0.5739
O: 0.3979 0.1580 0.0739
O: 0.4561 0.5798 0.1723
O: 0.5439 0.4202 0.6723
O: 0.6021 0.8420 0.5739
O: 0.8979 0.3420 0.0739
O: 0.9561 0.9202 0.1723

Computed properties:
The symmetry is Pna2_1. As for the density of states at the Fermi level: 6.1 states/eV per cell. As for the formation energy from raw total energies: -110.8 kJ/mol of atoms.

=====

GaAgO2: optimized geometry, GGA-PBEsol.

Unit cell a=6.4084 b=6.4084 c=6.4084 alpha=26.96 beta=26.96 gamma=26.96
Fractional coordinates of all 4 atoms:
Ga: 0.0000 0.0000 0.0000
Ag: 0.5000 0.5000 0.5000
O: 0.3877 0.3877 0.3877
O: 0.6123 0.6123 0.6123

Computed properties:
The symmetry is R-3m. As for the formation energy from raw total energies: -122.9 kJ/mol of atoms.

=====

GaAgO2: optimized geometry, GGA-PBEsol.

Unit cell a=3.9172 b=3.9172 c=3.9172 alpha=60.00 beta=60.00 gamma=60.00
Fractional coordinates of all 4 atoms:
Ga: 0.0000 0.0000 0.0000
Ag: 0.5000 0.5000 0.5000
O: 0.2500 0.2500 0.2500
O: 0.7500 0.7500 0.7500

Computed properties:
The symmetry is Fm-3m. As for the density of states at the Fermi level: 3.4 states/eV per cell. As for the formation energy from raw total energies: -28.4 kJ/mol of atoms.

=====

GaAgO2: optimized geometry, GGA-PBEsol.

Unit cell a=5.5045 b=5.5045 c=5.5045 alpha=125.33 beta=125.33 gamma=81.00
Fractional coordinates of all 8 atoms:
Ga: 0.0000 0.0000 0.0000
Ga: 0.7500 0.2500 0.5000
Ag: 0.2500 0.7500 0.5000
Ag: 0.5000 0.5000 0.0000
O: 0.0438 0.6250 0.9188
O: 0.3750 0.2938 0.4188
O: 0.7062 0.1250 0.0812
O: 0.8750 0.9562 0.5812

Computed properties:
The symmetry is I-42d. As for the density of states at the Fermi level: 2.4 states/eV per cell. As for the formation energy from raw total energies: -110.8 kJ/mol of atoms.